Entry from Alexandria via LeMat-Bulk: a geometry-optimized NbP2S8 structure (PBE-GGA).

a b c (Å): 6.7230 6.7230 6.7900
angles (deg): 90.00 90.00 120.00
Space group P-3m1 (No. 164)
Inequivalent atoms, fractional coordinates:
Nb 0.0000 0.0000 0.0000 x1
P 0.3333 0.6667 0.3092 x2
S 0.1590 0.3179 0.2381 x6
S 0.3333 0.6667 0.6012 x2

Properties
Spin magnetization (μB/cell): 0.00
Uncorrected formation energy (meV/atom): 38
E_tot (Ry/atom): -0.357